Here is PmNdLuAg after structural relaxation from Alexandria. Energies are from PBE.

Summary:
- Size of the total moment: 0.7 Bohr magnetons per cell
- Energy: -4.110 eV per atom

Structure (CIF):
```
data_PmNdLuAg
_symmetry_space_group_name_H-M 'F -4 3 m'
_symmetry_Int_Tables_number 216
_symmetry_space_group_name_Hall 'F -4 2 3'
_cell_length_a 7.701
_cell_length_b 7.701
_cell_length_c 7.701
_cell_angle_alpha 90.00
_cell_angle_beta 90.00
_cell_angle_gamma 90.00
loop_
_atom_site_label
_atom_site_type_symbol
_atom_site_fract_x
_atom_site_fract_y
_atom_site_fract_z
Pm1 Pm 0.000 0.000 0.000
Nd1 Nd 0.250 0.250 0.750
Lu1 Lu 0.250 0.250 0.250
Ag1 Ag 0.000 0.000 0.500
```

Here is K2MgNiS after structural relaxation from Alexandria. Energies are from PBE.

Summary:
- Uncorrected formation energy: -0.135 eV per atom
- Size of the total moment: 0.0 Bohr magnetons per cell
- Energy: -2.875 eV per atom

Structure (CIF):
```
data_K2MgNiS
_symmetry_space_group_name_H-M 'P 4/m m m'
_symmetry_Int_Tables_number 123
_symmetry_space_group_name_Hall '-P 4 2'
_cell_length_a 6.321
_cell_length_b 6.321
_cell_length_c 4.109
_cell_angle_alpha 90.00
_cell_angle_beta 90.00
_cell_angle_gamma 90.00
loop_
_atom_site_label
_atom_site_type_symbol
_atom_site_fract_x
_atom_site_fract_y
_atom_site_fract_z
K1 K 0.000 0.500 0.000
Mg1 Mg 0.000 0.000 0.500
Ni1 Ni 0.500 0.500 0.000
S1 S 0.500 0.500 0.500
```